No. 1
Compound: LaPuBi6
Source: the Alexandria database
Functional: PBE
Structure: optimized geometry

Cell lengths 5.009, 5.009, 9.849 Å; angles 90.00, 90.00, 90.00 degrees
Element x y z (fractional)
La: 0.000 0.000 0.000
Pu: 0.000 0.000 0.500
Bi: 0.000 0.500 0.256
Bi: 0.000 0.500 0.744
Bi: 0.500 0.000 0.256
Bi: 0.500 0.000 0.744
Bi: 0.500 0.500 0.000
Bi: 0.500 0.500 0.500

Values from the calculation:
DOS at the Fermi energy, states/eV/atom: 1.550
Space group: P4/mmm, No. 123

***

No. 2
Compound: La2PuScBi4
Source: the Alexandria database
Functional: PBE
Structure: optimized geometry

Cell lengths 7.866, 4.580, 7.898 Å; angles 90.00, 109.58, 90.00 degrees
Element x y z (fractional)
La: 0.000 0.000 0.000
La: 0.000 0.500 0.500
Pu: 0.500 0.000 0.500
Sc: 0.500 0.500 0.000
Bi: 0.267 0.500 0.248
Bi: 0.272 0.000 0.765
Bi: 0.728 0.000 0.235
Bi: 0.733 0.500 0.752

Values from the calculation:
DOS at the Fermi energy, states/eV/atom: 2.226
Space group: P2/m, No. 10

***

Asked for spin magnetization across the records above, the calculation gives 5.52; 5.05 Bohr magnetons per cell in order.
Asked for energy of formation across the records above, the calculation gives -0.4030; -0.7439 eV per atom in order.